[1]
The following is a GGA-PBEsol calculation of a relaxed SbP2Br crystal, from Alexandria via LeMat-Bulk.

Values from the calculation:
Calculated volume in Å³/f.u.: 100
ΔE to the lowest computed polymorph in eV/f.u.: 1.495
E_tot in eV for the cell shown: -63.10
Formation energy from raw total energies in kcal/mol of atoms: 12.89

Lattice parameters (Å, degrees): 7.004 7.004 8.142 90.00 90.00 90.00
Space group I-42d (No. 122)
Unique sites:
Sb1 0.000 0.000 0.000 x4
P1 0.227 0.750 0.125 x8
Br1 0.000 0.000 0.500 x4

---

[2]
The following is a GGA-PBEsol calculation of a relaxed SbP2Br crystal, from Alexandria via LeMat-Bulk.

Values from the calculation:
Calculated volume in Å³/f.u.: 87
ΔE to the lowest computed polymorph in eV/f.u.: 1.110
E_tot in eV for the cell shown: -32.32
Formation energy from raw total energies in kcal/mol of atoms: 10.67

Lattice parameters (Å, degrees): 5.571 5.571 5.606 90.00 90.00 90.00
Space group I4/mmm (No. 139)
Unique sites:
Sb1 0.000 0.000 0.000 x2
P1 0.000 0.500 0.000 x4
Br1 0.000 0.000 0.500 x2

---

[3]
The following is a GGA-PBEsol calculation of a relaxed SbP2Br crystal, from Alexandria via LeMat-Bulk.

Values from the calculation:
Calculated volume in Å³/f.u.: 99
ΔE to the lowest computed polymorph in eV/f.u.: 0.408
E_tot in eV for the cell shown: -33.72
Formation energy from raw total energies in kcal/mol of atoms: 6.62

Lattice parameters (Å, degrees): 3.263 6.452 9.406 90.00 90.00 90.00
Space group Cmm2 (No. 35)
Unique sites:
Sb1 0.000 0.000 0.000 x2
P1 0.000 0.000 0.561 x2
P2 0.000 0.500 0.707 x2
Br1 0.000 0.500 0.240 x2

---

> Among the records above, which one has the lowest ΔE to the lowest computed polymorph?

number 3